Arrangement w

Material: CuBr5
Method: DFT, PBE
State: optimized geometry

The structure in POSCAR format:
```
CuBr5
1.0
17.468 0.000 0.000
0.000 3.513 0.000
-1.338 0.000 7.176
Cu Br
2 10
Direct
0.000 0.000 0.000
0.500 0.500 0.000
0.004 0.500 0.228
0.247 0.000 0.035
0.249 0.000 0.368
0.249 0.500 0.700
0.497 0.000 0.773
0.504 0.000 0.228
0.747 0.500 0.035
0.749 0.000 0.700
0.749 0.500 0.368
0.997 0.500 0.773
```

Computed properties:
D(E_F): 0.64 states/eV/atom
Space-group type: Cm, No. 8
M_tot: 1.3 Bohr magnetons per cell

***

Arrangement x

Material: CuBr5
Method: DFT, PBE
State: optimized geometry

The structure in POSCAR format:
```
CuBr5
1.0
3.040 0.000 0.000
0.000 3.040 0.000
0.000 0.000 19.924
Cu Br
1 5
Direct
0.000 0.000 0.000
0.000 0.000 0.290
0.000 0.000 0.710
0.500 0.500 0.088
0.500 0.500 0.500
0.500 0.500 0.912
```

Computed properties:
D(E_F): 1.00 states/eV/atom
Space-group type: P4/mmm, No. 123
M_tot: 0.0 Bohr magnetons per cell

***

Relative to the most stable structure, the computed energies are arrangement w 0; arrangement x 294, all in meV per atom.

***

Arrangement w

Material: CuBr5
Method: DFT, PBE
State: optimized geometry

The structure in POSCAR format:
```
CuBr5
1.0
0.000 4.346 4.346
4.346 0.000 4.346
4.346 4.346 0.000
Cu Br
1 5
Direct
0.000 0.000 0.000
0.375 0.375 0.375
0.375 0.375 0.876
0.375 0.876 0.375
0.750 0.750 0.750
0.876 0.375 0.375
```

Computed properties:
D(E_F): 1.42 states/eV/atom
Space-group type: F-43m, No. 216
M_tot: 0.0 Bohr magnetons per cell

***

Arrangement x

Material: CuBr5
Method: DFT, PBE
State: optimized geometry

The structure in POSCAR format:
```
CuBr5
1.0
10.114 0.000 0.000
-5.057 8.759 0.000
0.000 0.000 2.720
Cu Br
1 5
Direct
0.000 0.000 0.000
0.000 0.781 0.500
0.219 0.219 0.500
0.333 0.667 0.000
0.667 0.333 0.000
0.781 0.000 0.500
```

Computed properties:
D(E_F): 1.50 states/eV/atom
Space-group type: P-62m, No. 189
M_tot: 0.1 Bohr magnetons per cell

***

Arrangement y

Material: CuBr5
Method: DFT, PBE
State: optimized geometry

The structure in POSCAR format:
```
CuBr5
1.0
3.608 0.000 0.000
0.000 13.276 0.000
0.000 0.000 8.748
Cu Br
2 10
Direct
0.000 0.000 0.000
0.500 0.500 0.000
0.000 0.167 0.500
0.000 0.377 0.000
0.000 0.500 0.500
0.000 0.623 0.000
0.000 0.833 0.500
0.500 0.000 0.500
0.500 0.123 0.000
0.500 0.333 0.500
0.500 0.667 0.500
0.500 0.877 0.000
```

Computed properties:
D(E_F): 0.60 states/eV/atom
Space-group type: Cmmm, No. 65
M_tot: 1.2 Bohr magnetons per cell

***

Relative to the most stable structure, the computed energies are arrangement w 783; arrangement x 70; arrangement y 0, all in meV per atom.

***

Arrangement w

Material: Cu5Br
Method: DFT, PBE
State: optimized geometry

The structure in POSCAR format:
```
Cu5Br
1.0
3.802 0.000 0.000
0.000 12.074 0.000
0.000 0.000 3.684
Cu Br
10 2
Direct
0.000 0.000 0.000
0.000 0.177 0.500
0.000 0.317 0.000
0.000 0.683 0.000
0.000 0.823 0.500
0.500 0.183 0.000
0.500 0.323 0.500
0.500 0.500 0.000
0.500 0.677 0.500
0.500 0.817 0.000
0.000 0.500 0.500
0.500 0.000 0.500
```

Computed properties:
D(E_F): 0.34 states/eV/atom
Space-group type: Cmmm, No. 65
M_tot: 0.0 Bohr magnetons per cell

***

Arrangement x

Material: Cu5Br
Method: DFT, PBE
State: optimized geometry

The structure in POSCAR format:
```
Cu5Br
1.0
3.533 0.000 0.000
0.000 3.560 0.000
0.000 0.000 14.631
Cu Br
10 2
Direct
0.000 0.000 0.000
0.000 0.000 0.244
0.000 0.000 0.622
0.000 0.500 0.122
0.000 0.500 0.500
0.000 0.500 0.744
0.500 0.000 0.121
0.500 0.000 0.749
0.500 0.500 0.249
0.500 0.500 0.621
0.500 0.000 0.396
0.500 0.500 0.896
```

Computed properties:
D(E_F): 0.34 states/eV/atom
Space-group type: Amm2, No. 38
M_tot: 0.0 Bohr magnetons per cell

***

Relative to the most stable structure, the computed energies are arrangement w 84; arrangement x 0, all in meV per atom.

***

Arrangement w

Material: CuBr3F
Method: DFT, PBE
State: optimized geometry

The structure in POSCAR format:
```
CuBr3F
1.0
4.936 0.000 0.000
0.000 4.936 0.000
0.000 0.000 4.936
Cu Br F
1 3 1
Direct
0.000 0.000 0.000
0.000 0.000 0.500
0.000 0.500 0.000
0.500 0.000 0.000
0.500 0.500 0.500
```

Computed properties:
D(E_F): 1.48 states/eV/atom
Space-group type: Pm-3m, No. 221
M_tot: 1.5 Bohr magnetons per cell

***

Arrangement x

Material: CuBr3F
Method: DFT, PBE
State: optimized geometry

The structure in POSCAR format:
```
CuBr3F
1.0
4.911 0.000 0.000
0.000 4.911 0.000
0.000 0.000 4.911
Cu Br F
1 3 1
Direct
0.000 0.000 0.000
0.000 0.500 0.500
0.500 0.000 0.500
0.500 0.500 0.000
0.500 0.500 0.500
```

Computed properties:
D(E_F): 0.89 states/eV/atom
Space-group type: Pm-3m, No. 221
M_tot: 0.0 Bohr magnetons per cell

***

Relative to the most stable structure, the computed energies are arrangement w 0; arrangement x 423, all in meV per atom.

***

Arrangement w

Material: CuBrF2
Method: DFT, PBE
State: optimized geometry

The structure in POSCAR format:
```
CuBrF2
1.0
3.125 0.000 0.000
-1.562 2.706 0.000
0.000 0.000 27.145
Cu Br F
3 3 6
Direct
0.000 0.000 0.000
0.333 0.667 0.667
0.667 0.333 0.333
0.000 0.000 0.500
0.333 0.667 0.167
0.667 0.333 0.833
0.000 0.000 0.369
0.000 0.000 0.631
0.333 0.667 0.035
0.333 0.667 0.298
0.667 0.333 0.702
0.667 0.333 0.965
```

Computed properties:
D(E_F): 2.79 states/eV/atom
Space-group type: R-3m, No. 166
M_tot: 0.3 Bohr magnetons per cell

***

Arrangement x

Material: CuBrF2
Method: DFT, PBE
State: optimized geometry

The structure in POSCAR format:
```
CuBrF2
1.0
6.078 0.000 0.000
0.000 6.078 0.000
0.000 0.000 6.078
Cu Br F
4 4 8
Direct
0.000 0.000 0.000
0.000 0.500 0.500
0.500 0.000 0.500
0.500 0.500 0.000
0.000 0.000 0.500
0.000 0.500 0.000
0.500 0.000 0.000
0.500 0.500 0.500
0.250 0.250 0.250
0.250 0.250 0.750
0.250 0.750 0.250
0.250 0.750 0.750
0.750 0.250 0.250
0.750 0.250 0.750
0.750 0.750 0.250
0.750 0.750 0.750
```

Computed properties:
D(E_F): 0.65 states/eV/atom
Space-group type: Fm-3m, No. 225
M_tot: 8.0 Bohr magnetons per cell

***

Relative to the most stable structure, the computed energies are arrangement w 0; arrangement x 713, all in meV per atom.

***

Arrangement w

Material: CuBrF2
Method: DFT, PBE
State: optimized geometry

The structure in POSCAR format:
```
CuBrF2
1.0
2.843 0.000 0.000
0.000 9.038 0.000
-0.005 0.000 5.651
Cu Br F
2 2 4
Direct
0.002 0.250 0.257
0.998 0.750 0.743
0.001 0.250 0.757
0.999 0.750 0.243
0.498 0.608 0.743
0.498 0.892 0.743
0.502 0.108 0.257
0.502 0.392 0.257
```

Computed properties:
D(E_F): 0.56 states/eV/atom
Space-group type: P2_1/m, No. 11
M_tot: 2.8 Bohr magnetons per cell

***

Arrangement x

Material: CuBrF2
Method: DFT, PBE
State: optimized geometry

The structure in POSCAR format:
```
CuBrF2
1.0
5.966 0.000 0.000
0.000 5.966 0.000
0.000 0.000 9.194
Cu Br F
4 4 8
Direct
0.000 0.000 0.000
0.000 0.500 0.250
0.500 0.000 0.750
0.500 0.500 0.500
0.000 0.000 0.500
0.000 0.500 0.750
0.500 0.000 0.250
0.500 0.500 0.000
0.005 0.250 0.125
0.250 0.505 0.375
0.250 0.995 0.875
0.495 0.250 0.625
0.505 0.750 0.625
0.750 0.005 0.875
0.750 0.495 0.375
0.995 0.750 0.125
```

Computed properties:
D(E_F): 2.35 states/eV/atom
Space-group type: I-42d, No. 122
M_tot: 3.7 Bohr magnetons per cell

***

Relative to the most stable structure, the computed energies are arrangement w 0; arrangement x 259, all in meV per atom.

***

Arrangement w

Material: Cu3BrF
Method: DFT, PBE
State: optimized geometry

The structure in POSCAR format:
```
Cu3BrF
1.0
4.703 0.000 0.000
0.000 4.703 0.000
0.000 0.000 4.703
Cu Br F
3 1 1
Direct
0.000 0.000 0.500
0.000 0.500 0.000
0.500 0.000 0.000
0.000 0.000 0.000
0.500 0.500 0.500
```

Computed properties:
D(E_F): 0.36 states/eV/atom
Space-group type: Pm-3m, No. 221
M_tot: 0.0 Bohr magnetons per cell

***

Arrangement x

Material: Cu3BrF
Method: DFT, PBE
State: optimized geometry

The structure in POSCAR format:
```
Cu3BrF
1.0
4.310 0.000 0.000
0.000 4.310 0.000
0.000 0.000 4.310
Cu Br F
3 1 1
Direct
0.000 0.000 0.500
0.000 0.500 0.000
0.500 0.000 0.000
0.500 0.500 0.500
0.000 0.000 0.000
```

Computed properties:
D(E_F): 0.41 states/eV/atom
Space-group type: Pm-3m, No. 221
M_tot: 0.0 Bohr magnetons per cell

***

Relative to the most stable structure, the computed energies are arrangement w 372; arrangement x 0, all in meV per atom.

***

Arrangement w

Material: CuBr2F
Method: DFT, PBE
State: optimized geometry

The structure in POSCAR format:
```
CuBr2F
1.0
6.232 0.000 0.000
0.000 6.232 0.000
0.000 0.000 9.876
Cu Br F
4 8 4
Direct
0.000 0.000 0.000
0.000 0.500 0.250
0.500 0.000 0.750
0.500 0.500 0.500
0.206 0.250 0.125
0.250 0.706 0.375
0.250 0.794 0.875
0.294 0.250 0.625
0.706 0.750 0.625
0.750 0.206 0.875
0.750 0.294 0.375
0.794 0.750 0.125
0.000 0.000 0.500
0.000 0.500 0.750
0.500 0.000 0.250
0.500 0.500 0.000
```

Computed properties:
D(E_F): 1.46 states/eV/atom
Space-group type: I-42d, No. 122
M_tot: 0.0 Bohr magnetons per cell

***

Arrangement x

Material: CuBr2F
Method: DFT, PBE
State: optimized geometry

The structure in POSCAR format:
```
CuBr2F
1.0
6.468 0.000 0.000
0.000 6.468 0.000
0.000 0.000 6.468
Cu Br F
4 8 4
Direct
0.000 0.000 0.000
0.000 0.500 0.500
0.500 0.000 0.500
0.500 0.500 0.000
0.250 0.250 0.250
0.250 0.250 0.750
0.250 0.750 0.250
0.250 0.750 0.750
0.750 0.250 0.250
0.750 0.250 0.750
0.750 0.750 0.250
0.750 0.750 0.750
0.000 0.000 0.500
0.000 0.500 0.000
0.500 0.000 0.000
0.500 0.500 0.500
```

Computed properties:
D(E_F): 1.06 states/eV/atom
Space-group type: Fm-3m, No. 225
M_tot: 0.0 Bohr magnetons per cell

***

Relative to the most stable structure, the computed energies are arrangement w 0; arrangement x 217, all in meV per atom.

***

Arrangement w

Material: CuBrN2F
Method: DFT, PBE
State: optimized geometry

The structure in POSCAR format:
```
CuBrN2F
1.0
3.720 0.000 0.000
0.000 3.720 0.000
0.000 0.000 5.162
Cu Br N F
1 1 2 1
Direct
0.000 0.000 0.000
0.500 0.500 0.500
0.000 0.500 0.500
0.500 0.000 0.500
0.500 0.500 0.000
```

Computed properties:
D(E_F): 0.85 states/eV/atom
Space-group type: P4/mmm, No. 123
M_tot: 0.3 Bohr magnetons per cell

***

Arrangement x

Material: CuBrN2F
Method: DFT, PBE
State: optimized geometry

The structure in POSCAR format:
```
CuBrN2F
1.0
4.003 0.000 0.000
0.000 4.003 0.000
0.000 0.000 3.913
Cu Br N F
1 1 2 1
Direct
0.000 0.000 0.000
0.500 0.500 0.500
0.000 0.500 0.000
0.500 0.000 0.000
0.000 0.000 0.500
```

Computed properties:
D(E_F): 0.58 states/eV/atom
Space-group type: P4/mmm, No. 123
M_tot: 2.5 Bohr magnetons per cell

***

Relative to the most stable structure, the computed energies are arrangement w 525; arrangement x 0, all in meV per atom.

***

Arrangement w

Material: CuSe2BrF
Method: DFT, PBE
State: optimized geometry

The structure in POSCAR format:
```
CuSe2BrF
1.0
4.732 0.000 0.000
0.000 4.732 0.000
0.000 0.000 4.879
Cu Se Br F
1 2 1 1
Direct
0.000 0.000 0.000
0.000 0.500 0.000
0.500 0.000 0.000
0.000 0.000 0.500
0.500 0.500 0.500
```

Computed properties:
D(E_F): 1.16 states/eV/atom
Space-group type: P4/mmm, No. 123
M_tot: 0.0 Bohr magnetons per cell

***

Arrangement x

Material: CuSe2BrF
Method: DFT, PBE
State: optimized geometry

The structure in POSCAR format:
```
CuSe2BrF
1.0
4.236 0.000 0.000
0.000 4.236 0.000
0.000 0.000 6.950
Cu Se Br F
1 2 1 1
Direct
0.000 0.000 0.000
0.000 0.500 0.500
0.500 0.000 0.500
0.500 0.500 0.000
0.500 0.500 0.500
```

Computed properties:
D(E_F): 1.05 states/eV/atom
Space-group type: P4/mmm, No. 123
M_tot: 0.0 Bohr magnetons per cell

***

Relative to the most stable structure, the computed energies are arrangement w 0; arrangement x 108, all in meV per atom.

***

Arrangement w

Material: FeCuBr2
Method: DFT, PBE
State: optimized geometry

The structure in POSCAR format:
```
FeCuBr2
1.0
5.756 0.000 0.000
0.000 5.756 0.000
0.000 0.000 11.423
Fe Cu Br
4 4 8
Direct
0.000 0.000 0.000
0.000 0.500 0.250
0.500 0.000 0.750
0.500 0.500 0.500
0.000 0.000 0.500
0.000 0.500 0.750
0.500 0.000 0.250
0.500 0.500 0.000
0.250 0.250 0.125
0.250 0.250 0.625
0.250 0.750 0.375
0.250 0.750 0.875
0.750 0.250 0.375
0.750 0.250 0.875
0.750 0.750 0.125
0.750 0.750 0.625
```

Computed properties:
D(E_F): 0.83 states/eV/atom
Space-group type: I-42d, No. 122
M_tot: 12.1 Bohr magnetons per cell

***

Arrangement x

Material: FeCuBr2
Method: DFT, PBE
State: optimized geometry

The structure in POSCAR format:
```
FeCuBr2
1.0
3.557 0.000 0.000
0.000 3.617 0.000
0.000 0.000 14.497
Fe Cu Br
2 2 4
Direct
0.000 0.000 0.000
0.500 0.500 0.500
0.000 0.500 0.378
0.500 0.000 0.878
0.000 0.000 0.571
0.000 0.500 0.837
0.500 0.000 0.337
0.500 0.500 0.071
```

Computed properties:
D(E_F): 0.70 states/eV/atom
Space-group type: Imm2, No. 44
M_tot: 6.1 Bohr magnetons per cell

***

Relative to the most stable structure, the computed energies are arrangement w 0; arrangement x 38, all in meV per atom.

***

Arrangement w

Material: Fe3CuBr
Method: DFT, PBE
State: optimized geometry

The structure in POSCAR format:
```
Fe3CuBr
1.0
4.515 0.000 0.000
0.000 4.515 0.000
0.000 0.000 4.515
Fe Cu Br
3 1 1
Direct
0.000 0.000 0.500
0.000 0.500 0.000
0.500 0.000 0.000
0.000 0.000 0.000
0.500 0.500 0.500
```

Computed properties:
D(E_F): 1.49 states/eV/atom
Space-group type: Pm-3m, No. 221
M_tot: 9.2 Bohr magnetons per cell

***

Arrangement x

Material: Fe3CuBr
Method: DFT, PBE
State: optimized geometry

The structure in POSCAR format:
```
Fe3CuBr
1.0
4.333 0.000 0.000
0.000 4.333 0.000
0.000 0.000 4.333
Fe Cu Br
3 1 1
Direct
0.000 0.000 0.500
0.000 0.500 0.000
0.500 0.000 0.000
0.500 0.500 0.500
0.000 0.000 0.000
```

Computed properties:
D(E_F): 0.45 states/eV/atom
Space-group type: Pm-3m, No. 221
M_tot: 6.1 Bohr magnetons per cell

***

Relative to the most stable structure, the computed energies are arrangement w 0; arrangement x 89, all in meV per atom.

***

Arrangement w

Material: Fe2Cu2Br
Method: DFT, PBE
State: optimized geometry

The structure in POSCAR format:
```
Fe2Cu2Br
1.0
3.425 0.000 0.000
0.000 3.425 0.000
0.000 0.000 13.030
Fe Cu Br
4 4 2
Direct
0.000 0.000 0.103
0.000 0.000 0.897
0.500 0.500 0.397
0.500 0.500 0.603
0.000 0.500 0.250
0.000 0.500 0.750
0.500 0.000 0.250
0.500 0.000 0.750
0.000 0.000 0.500
0.500 0.500 0.000
```

Computed properties:
D(E_F): 0.88 states/eV/atom
Space-group type: I4/mmm, No. 139
M_tot: 13.0 Bohr magnetons per cell

***

Arrangement x

Material: Fe2Cu2Br
Method: DFT, PBE
State: optimized geometry

The structure in POSCAR format:
```
Fe2Cu2Br
1.0
6.471 0.000 0.000
0.000 6.471 0.000
0.000 0.000 3.546
Fe Cu Br
4 4 2
Direct
0.131 0.369 0.000
0.369 0.869 0.000
0.631 0.131 0.000
0.869 0.631 0.000
0.148 0.648 0.500
0.352 0.148 0.500
0.648 0.852 0.500
0.852 0.352 0.500
0.000 0.000 0.000
0.500 0.500 0.000
```

Computed properties:
D(E_F): 0.69 states/eV/atom
Space-group type: P4/mbm, No. 127
M_tot: 10.4 Bohr magnetons per cell

***

Relative to the most stable structure, the computed energies are arrangement w 29; arrangement x 0, all in meV per atom.